RbTlPb2 | PBE-GGA | relaxed

Cell: 5.4974 5.4974 19.7135 Å, 90.00 90.00 120.00°
With the nearest neighbours (Å) after each atom.
Space group R-3m (No. 166, hexagonal axes)
Symmetry-distinct sites (fractional):
Rb 0.0000 0.0000 0.0000 x3  8 Pb 3.98-4.09
Tl 0.0000 0.0000 0.5000 x3  6 Pb 3.25
Pb 0.0000 0.0000 0.2021 x6  3 Tl 3.25, 3 Pb 3.47

Computed properties:
**ΔH_f (0 K)**: -4 meV per atom
**VASP energy**: -32.30 eV for the cell shown
**Density**: 6.80 Mg/m³
**V**: 43.0 Å³ per atom
**Energy above the most stable polymorph in this dataset**: 95 meV per atom